Entry from the Alexandria database: an optimized crystal structure of HfScAlCd (GGA-PBE).

ΔE_f = -0.27 eV per atom
Total DFT energy (no corrections) = -5.508 eV/atom

Cell: 3.0933 3.0933 8.4702 Å, 90.00 90.00 90.00°
Fractional coordinates of all 4 atoms:
1 Hf 0.0000 0.0000 0.0000
2 Sc 0.0000 0.0000 0.4720
3 Al 0.5000 0.5000 0.2314
4 Cd 0.5000 0.5000 0.7350